No. 1
DFT (PBE) results for a relaxed structure of BaAl2Tl.

Calculated values
formation energy = 105 meV per atom
total energy = -11.4 eV per cell
theoretical density = 5.80 g/cm³

POSCAR file:
```
BaAl2Tl
1.0
0.0000 3.8403 3.8403
3.8403 0.0000 3.8403
3.8403 3.8403 0.0000
Ba Al Tl
1 2 1
Cartesian
0.0000 0.0000 0.0000 Ba
1.9201 1.9201 1.9201 Al
5.7604 5.7604 5.7604 Al
3.8403 3.8403 3.8403 Tl
```

No. 2
DFT (PBE) results for a relaxed structure of Ba5AlTl4.

Calculated values
formation energy = -326 meV per atom
total energy = -26.1 eV per cell
theoretical density = 6.51 g/cm³

POSCAR file:
```
Ba5AlTl4
1.0
4.2634 0.0000 0.0000
0.0000 4.2634 0.0000
0.0000 0.0000 21.4747
Ba Al Tl
5 1 4
Cartesian
0.0000 0.0000 0.0000 Ba
0.0000 0.0000 4.3512 Ba
0.0000 0.0000 8.7347 Ba
0.0000 0.0000 12.7400 Ba
0.0000 0.0000 17.1235 Ba
2.1317 2.1317 10.7374 Al
2.1317 2.1317 2.1724 Tl
2.1317 2.1317 6.5466 Tl
2.1317 2.1317 14.9281 Tl
2.1317 2.1317 19.3023 Tl
```

No. 3
DFT (PBE) results for a relaxed structure of BaAlTl.

Calculated values
formation energy = -155 meV per atom
total energy = -17.0 eV per cell
theoretical density = 6.35 g/cm³

POSCAR file:
```
BaAlTl
1.0
2.2877 -6.5099 0.0000
2.2877 6.5099 0.0000
0.0000 0.0000 6.4767
Ba Al Tl
2 2 2
Cartesian
2.2877 4.0187 4.8575 Ba
2.2877 -4.0187 1.6192 Ba
2.2877 0.0000 0.0000 Al
2.2877 0.0000 3.2383 Al
2.2877 5.3145 1.6192 Tl
2.2877 -5.3145 4.8575 Tl
```

No. 4
DFT (PBE) results for a relaxed structure of BaAl2Tl.

Calculated values
formation energy = 13 meV per atom
total energy = -11.7 eV per cell
theoretical density = 5.41 g/cm³

POSCAR file:
```
BaAl2Tl
1.0
-2.3266 3.1089 4.1991
2.3266 -3.1089 4.1991
2.3266 3.1089 -4.1991
Ba Al Tl
1 2 1
Cartesian
0.0000 0.0000 0.0000 Ba
2.3266 0.0000 2.4993 Al
0.0000 0.0000 3.7971 Al
0.0000 3.1089 1.6640 Tl
```